--- 1 ---
Compound: CaReSe
Source: the Alexandria database
Functional: PBE-GGA
Structure: optimized geometry

```
CaReSe
1.0
-0.880 -3.269 -5.007
1.608 -4.698 -3.445
-1.966 -2.456 0.883
Re Ca Se
1 1 1
Direct
0.301 0.301 0.699 Re
0.998 0.998 0.002 Ca
0.701 0.701 0.299 Se
```

Summary:
ρ   8.50 Mg/m³

***

--- 2 ---
Compound: CaReSe
Source: the Alexandria database
Functional: PBE-GGA
Structure: optimized geometry

```
CaReSe
1.0
4.926 0.000 0.000
2.463 4.266 0.000
2.463 1.422 4.022
Re Ca Se
1 1 1
Direct
0.000 0.000 0.000 Re
0.250 0.250 0.250 Ca
0.500 0.500 0.500 Se
```

Summary:
ρ   6.00 Mg/m³

***

Most stable structure - 1; separation to the second - 1.256 eV/atom.

***

--- 1 ---
Compound: CaReSe3
Source: the Alexandria database
Functional: PBE-GGA
Structure: optimized geometry

```
CaReSe3
1.0
-1.851 -3.958 -2.421
2.233 -3.045 3.271
-4.067 0.129 2.897
Re Ca Se
1 1 3
Direct
0.000 0.000 0.000 Re
0.500 0.500 0.500 Ca
0.000 0.500 0.000 Se
0.000 0.000 0.500 Se
0.500 0.000 0.000 Se
```

Summary:
ρ   6.17 Mg/m³

***

--- 2 ---
Compound: CaReSe3
Source: the Alexandria database
Functional: PBE-GGA
Structure: optimized geometry

```
CaReSe3
1.0
-1.137 -2.908 -4.377
-1.042 -4.264 3.105
-5.151 1.505 0.338
Re Ca Se
1 1 3
Direct
0.500 0.500 0.500 Re
0.000 0.000 0.000 Ca
0.000 0.500 0.000 Se
0.000 0.000 0.500 Se
0.500 0.000 0.000 Se
```

Summary:
ρ   4.95 Mg/m³

***

Most stable structure - 1; separation to the second - 1.321 eV/atom.

***

--- 1 ---
Compound: CaRe3Se
Source: the Alexandria database
Functional: PBE-GGA
Structure: optimized geometry

```
CaRe3Se
1.0
4.643 0.000 0.000
0.000 4.643 0.000
0.000 0.000 4.643
Re Ca Se
3 1 1
Direct
0.000 0.500 0.000 Re
0.000 0.000 0.500 Re
0.500 0.000 0.000 Re
0.500 0.500 0.500 Ca
0.000 0.000 0.000 Se
```

Summary:
ρ   11.24 Mg/m³

***

--- 2 ---
Compound: CaRe3Se
Source: the Alexandria database
Functional: PBE-GGA
Structure: optimized geometry

```
CaRe3Se
1.0
-0.906 -3.666 2.779
4.565 -0.364 1.008
-0.572 2.900 3.640
Re Ca Se
3 1 1
Direct
0.000 0.500 0.000 Re
0.000 0.000 0.500 Re
0.500 0.000 0.000 Re
0.000 0.000 0.000 Ca
0.500 0.500 0.500 Se
```

Summary:
ρ   10.92 Mg/m³

***

Most stable structure - 1; separation to the second - 2.113 eV/atom.